Density functional theory data (PBE) for a relaxed structure of BeRh2W.

Computed properties:
formation enthalpy at 0 K	-0.168	eV/atom
D(E_F)	0.991	states/eV per atom
calculated total energy	-32.06	eV/f.u.

a = 8.034 Å, b = 8.034 Å, c = 8.034 Å
α = 20.05°, β = 20.05°, γ = 20.05°
Atoms (fractional coordinates):
W  0.250  0.250  0.250
Rh  0.010  0.010  0.010
Be  0.750  0.750  0.750
Rh  0.490  0.490  0.490

=====

Density functional theory data (PBE) for a relaxed structure of BeRhW.

Computed properties:
formation enthalpy at 0 K	0.300	eV/atom
ΔE to the lowest computed polymorph	0.555	eV/atom
D(E_F)	1.588	states/eV per atom
calculated total energy	-23.13	eV/f.u.

a = 4.044 Å, b = 4.044 Å, c = 4.044 Å
α = 60.00°, β = 60.00°, γ = 60.00°
Atoms (fractional coordinates):
Rh  0.750  0.750  0.750
Be  0.500  0.500  0.500
W  0.000  0.000  0.000

=====

Density functional theory data (PBE) for a relaxed structure of BeRh2W.

Computed properties:
formation enthalpy at 0 K	-0.190	eV/atom
D(E_F)	0.691	states/eV per atom
calculated total energy	-32.14	eV/f.u.

a = 2.784 Å, b = 2.784 Å, c = 6.713 Å
α = 90.00°, β = 90.00°, γ = 90.00°
Atoms (fractional coordinates):
W  0.000  0.000  0.530
Rh  0.000  0.000  0.952
Be  0.500  0.500  0.773
Rh  0.500  0.500  0.245

=====

Density functional theory data (PBE) for a relaxed structure of BeRh2W.

Computed properties:
formation enthalpy at 0 K	-0.124	eV/atom
D(E_F)	0.559	states/eV per atom
calculated total energy	-31.88	eV/f.u.

a = 4.810 Å, b = 4.810 Å, c = 4.810 Å
α = 135.44°, β = 135.44°, γ = 64.85°
Atoms (fractional coordinates):
W  0.500  0.500  0.000
Be  0.750  0.250  0.500
Rh  0.250  0.750  0.500
Rh  0.000  0.000  0.000